DFT (PBE) results for an optimized crystal structure of Y2TlAg2.

Computed properties:
- Theoretical density: 7.3 g cm⁻³
- DFT formation energy: -31 meV per atom
- Total magnetic moment: 0.000 μB/cell

Cell lengths 5.891, 5.891, 5.891 Å; angles 123.29, 123.29, 84.39 degrees
Fractional coordinates of all 5 atoms:
Y (0.250, 0.750, 0.500)
Y (0.750, 0.250, 0.500)
Tl (0.000, 0.000, 0.000)
Ag (0.354, 0.354, 0.000)
Ag (0.646, 0.646, 0.000)

***

DFT (PBE) results for an optimized crystal structure of Y4Tl3Ag.

Computed properties:
- Theoretical density: 8.4 g cm⁻³
- DFT formation energy: -369 meV per atom
- Total magnetic moment: 0.036 μB/cell

Cell lengths 3.639, 3.639, 16.092 Å; angles 90.00, 90.00, 90.00 degrees
Fractional coordinates of all 8 atoms:
Y (0.000, 0.000, 0.113)
Y (0.000, 0.000, 0.370)
Y (0.000, 0.000, 0.630)
Y (0.000, 0.000, 0.887)
Tl (0.500, 0.500, 0.241)
Tl (0.500, 0.500, 0.500)
Tl (0.500, 0.500, 0.759)
Ag (0.500, 0.500, 0.000)

***

no.,density of states at the Fermi level (states/eV/cell)
1,3.33
2,6.32